Entry 1:
Below is an optimized crystal structure of Dy2MgSc, with properties calculated at the PBE level.

Values from the calculation:
offset from the most stable computed form = 63 meV/atom
energy relative to the elements = 0.20 eV/f.u.
E_tot = -16.9 eV/f.u.
magnetization = 0.00 μB/f.u.
space-group type = No. 8

Lattice parameters (Å, degrees): 3.3943 3.3943 11.4051 98.51 98.51 60.05
Element x y z (fractional)
Dy 0.0000 0.0000 0.0000
Dy 0.1730 0.1730 0.5172
Mg 0.7531 0.7531 0.2592
Sc 0.5863 0.5863 0.7584

---

Entry 2:
Below is an optimized crystal structure of Dy2MgSc, with properties calculated at the PBE level.

Values from the calculation:
offset from the most stable computed form = 194 meV/atom
energy relative to the elements = 0.73 eV/f.u.
E_tot = -16.4 eV/f.u.
magnetization = 0.00 μB/f.u.
space-group type = No. 166

Lattice parameters (Å, degrees): 12.0592 12.0592 12.0592 16.02 16.02 16.02
Element x y z (fractional)
Dy 0.0915 0.0915 0.0915
Dy 0.9085 0.9085 0.9085
Mg 0.0000 0.0000 0.0000
Sc 0.5000 0.5000 0.5000

---

Entry 3:
Below is an optimized crystal structure of DyMg3Sc6, with properties calculated at the PBE level.

Values from the calculation:
energy relative to the elements = 2.17 eV/f.u.
E_tot = -45.2 eV/f.u.
magnetization = 0.00 μB/f.u.
space-group type = No. 162

Lattice parameters (Å, degrees): 6.1221 6.1221 7.9978 90.00 90.00 120.00
Element x y z (fractional)
Dy 0.0000 0.0000 0.0000
Mg 0.0000 0.0000 0.5000
Mg 0.3333 0.6667 0.5000
Mg 0.6667 0.3333 0.5000
Sc 0.0000 0.4345 0.8111
Sc 0.0000 0.5655 0.1889
Sc 0.4345 0.0000 0.8111
Sc 0.4345 0.4345 0.1889
Sc 0.5655 0.0000 0.1889
Sc 0.5655 0.5655 0.8111

---

Entry 4:
Below is an optimized crystal structure of Dy4Mg7Sc, with properties calculated at the PBE level.

Values from the calculation:
offset from the most stable computed form = 0 meV/atom
energy relative to the elements = -0.23 eV/f.u.
E_tot = -36.1 eV/f.u.
magnetization = 0.00 μB/f.u.
space-group type = No. 164

Lattice parameters (Å, degrees): 5.2292 5.2292 13.1610 90.00 90.00 120.00
Element x y z (fractional)
Dy 0.3333 0.6667 0.1570
Dy 0.3333 0.6667 0.4183
Dy 0.6667 0.3333 0.5817
Dy 0.6667 0.3333 0.8430
Mg 0.0000 0.0000 0.2564
Mg 0.0000 0.0000 0.5000
Mg 0.0000 0.0000 0.7436
Mg 0.3333 0.6667 0.6837
Mg 0.3333 0.6667 0.9190
Mg 0.6667 0.3333 0.0810
Mg 0.6667 0.3333 0.3163
Sc 0.0000 0.0000 0.0000

---

Entry 5:
Below is an optimized crystal structure of Dy4Mg5Sc, with properties calculated at the PBE level.

Values from the calculation:
energy relative to the elements = -0.67 eV/f.u.
E_tot = -33.4 eV/f.u.
magnetization = 0.00 μB/f.u.
space-group type = No. 123

Lattice parameters (Å, degrees): 3.7409 3.7409 18.8505 90.00 90.00 90.00
Element x y z (fractional)
Dy 0.0000 0.0000 0.1023
Dy 0.0000 0.0000 0.3062
Dy 0.0000 0.0000 0.6938
Dy 0.0000 0.0000 0.8977
Mg 0.5000 0.5000 0.0000
Mg 0.5000 0.5000 0.2042
Mg 0.5000 0.5000 0.4100
Mg 0.5000 0.5000 0.5900
Mg 0.5000 0.5000 0.7958
Sc 0.0000 0.0000 0.5000

---

Entry 6:
Below is an optimized crystal structure of Dy3MgSc7, with properties calculated at the PBE level.

Values from the calculation:
energy relative to the elements = 2.41 eV/f.u.
E_tot = -57.3 eV/f.u.
magnetization = 0.00 μB/f.u.
space-group type = No. 156

Lattice parameters (Å, degrees): 6.5788 6.5788 8.1228 90.00 90.00 120.00
Element x y z (fractional)
Dy 0.1681 0.3363 0.0000
Dy 0.1681 0.8319 0.0000
Dy 0.6637 0.8319 0.0000
Mg 0.0000 0.0000 0.3491
Sc 0.0069 0.5035 0.3493
Sc 0.3333 0.6667 0.6652
Sc 0.3346 0.1673 0.6621
Sc 0.4965 0.5035 0.3493
Sc 0.4965 0.9931 0.3493
Sc 0.8327 0.1673 0.6621
Sc 0.8327 0.6654 0.6621

---

Entry 7:
Below is an optimized crystal structure of Dy2Mg4Sc, with properties calculated at the PBE level.

Values from the calculation:
offset from the most stable computed form = 0 meV/atom
energy relative to the elements = 0.19 eV/f.u.
E_tot = -21.7 eV/f.u.
magnetization = 0.00 μB/f.u.
space-group type = No. 166

Lattice parameters (Å, degrees): 8.2428 8.2428 8.2428 36.93 36.93 36.93
Element x y z (fractional)
Dy 0.2118 0.2118 0.2118
Dy 0.7882 0.7882 0.7882
Mg 0.0697 0.0697 0.0697
Mg 0.3625 0.3625 0.3625
Mg 0.6375 0.6375 0.6375
Mg 0.9303 0.9303 0.9303
Sc 0.5000 0.5000 0.5000

---

Entry 8:
Below is an optimized crystal structure of DyMg4Sc, with properties calculated at the PBE level.

Values from the calculation:
offset from the most stable computed form = 0 meV/atom
energy relative to the elements = -0.20 eV/f.u.
E_tot = -17.5 eV/f.u.
magnetization = 0.00 μB/f.u.
space-group type = No. 12

Lattice parameters (Å, degrees): 6.0804 6.0804 6.4099 121.80 121.80 50.14
Element x y z (fractional)
Dy 0.0000 0.0000 0.0000
Mg 0.3336 0.3336 0.0844
Mg 0.3337 0.3337 0.5812
Mg 0.6663 0.6663 0.4188
Mg 0.6664 0.6664 0.9156
Sc 0.0000 0.0000 0.5000

---

Question: Which of these has the lowest E_tot?
Answer: Dy3MgSc7